Material: HfGeOs
Method: DFT, GGA-PBEsol
State: relaxed

The calculation puts the density of states at the Fermi level at 4.2 states/eV/cell. The calculation puts the total energy at -9.86 eV/atom. Its crystal system is hexagonal.

It has space group P-62m (No. 189), with a = 6.6606 Å, b = 6.6606 Å, c = 3.7569 Å, α = 90.00°, β = 90.00° and γ = 120.00°. The inequivalent atoms are Hf at (0.0000, 0.4172, 0.0000), Ge at (0.0000, 0.0000, 0.0000), Ge at (0.3333, 0.6667, 0.5000) and Os at (0.0000, 0.7534, 0.5000).